Record 1
The following is a DFT calculation (PBE-GGA) of a relaxed La2SmSb3Pt4 crystal.

Geometry as extended XYZ:
```
10
Lattice="4.6054 0.0000 0.0000 0.0000 4.6054 0.0000 0.0000 0.0000 11.4127" Properties=species:S:1:pos:R:3 pbc="T T T"
La 0.0000 2.3027 2.4323
La 2.3027 0.0000 8.9804
Sm 0.0000 0.0000 5.7063
Sb 0.0000 2.3027 9.9676
Sb 2.3027 0.0000 1.4450
Sb 2.3027 2.3027 5.7063
Pt 0.0000 0.0000 0.0000
Pt 0.0000 2.3027 7.3713
Pt 2.3027 0.0000 4.0414
Pt 2.3027 2.3027 0.0000
```

Properties
* uncorrected formation energy: -22.588 kcal/mol of atoms
* uncorrected energy: -6.0900 eV per atom
* symmetry: P-4m2
* spin magnetization: 0.00 μB per formula unit
* ρ: 10.80 g/cm³

***

Record 2
The following is a DFT calculation (PBE-GGA) of a relaxed Zn6HgPd5 crystal.

Geometry as extended XYZ:
```
12
Lattice="4.4787 0.0000 0.0000 0.0000 5.9934 0.0000 -1.7689 0.0000 6.7390" Properties=species:S:1:pos:R:3 pbc="T T T"
Zn 0.0000 1.4156 0.0000
Zn 0.0000 4.5777 0.0000
Zn 0.2650 1.4590 4.3939
Zn 0.2650 4.5343 4.3939
Zn 2.4448 1.4590 2.3450
Zn 2.4448 4.5343 2.3450
Hg 2.2393 2.9967 0.0000
Pd 0.1961 0.0000 2.2013
Pd 0.2029 2.9967 2.2211
Pd 2.2393 0.0000 0.0000
Pd 2.5069 2.9967 4.5179
Pd 2.5137 0.0000 4.5377
```

Properties
* uncorrected energy: -3.2416 eV per atom
* symmetry: P2/m
* spin magnetization: 0.00 μB per formula unit
* ρ: 10.33 g/cm³
* ΔE_f: -4.990 eV/f.u.